The following is a PBE-GGA calculation of an optimized crystal structure of Pr6Co2RhCl3, from the Alexandria database.

## Properties
Fermi-level density of states ... 3.0 states/eV/cell
E_tot ... -66.99 eV for the cell shown
Symmetry ... C2/m, No. 12

Lattice parameters (Å, degrees): 4.027 8.938 9.803 110.60 101.85 90.00
Atoms (fractional coordinates):
Co (0.832, 0.663, 0.664)
Co (0.168, 0.337, 0.336)
Pr (0.014, 0.232, 0.027)
Cl (0.500, 0.500, 0.000)
Cl (0.167, 0.833, 0.334)
Pr (0.678, 0.557, 0.355)
Rh (0.500, 0.000, 0.000)
Pr (0.986, 0.768, 0.973)
Pr (0.660, 0.118, 0.320)
Pr (0.340, 0.882, 0.680)
Cl (0.833, 0.167, 0.666)
Pr (0.322, 0.443, 0.645)